# 1
# Pm3MgCo8 | Alexandria via LeMat-Bulk | PBE | optimized geometry
# Space group = R3m
# Total magnetization = 8.4 μB/cell
# D(E_F) = 1.459 states/eV per atom
# Energy of formation from the pure elements = -0.07 eV/atom
# Final energy = -73.5 eV/f.u.
data_Pm3MgCo8
_chemical_formula_sum 'Pm3 Mg1 Co8'
_cell_length_a 5.073
_cell_length_b 5.073
_cell_length_c 8.841
_cell_angle_alpha 73.33
_cell_angle_beta 73.33
_cell_angle_gamma 60.00
_space_group_name_H-M_alt 'P 1'
_space_group_IT_number 1
_space_group_name_Hall 'P 1'
loop_
_atom_site_label
_atom_site_type_symbol
_atom_site_fract_x
_atom_site_fract_y
_atom_site_fract_z
_atom_site_occupancy
Co1 Co 0.437 0.437 0.194 1
Co2 Co 0.687 0.687 0.938 1
Co3 Co 0.189 0.189 0.434 1
Co4 Co 0.437 0.932 0.194 1
Co5 Co 0.444 0.938 0.680 1
Co6 Co 0.938 0.938 0.680 1
Co7 Co 0.932 0.437 0.194 1
Co8 Co 0.938 0.444 0.680 1
Pm1 Pm 0.376 0.376 0.873 1
Pm2 Pm 0.503 0.503 0.492 1
Pm3 Pm 0.996 0.996 0.011 1
Mg1 Mg 0.874 0.874 0.378 1



# 2
# TaAs3Cl | Alexandria via LeMat-Bulk | PBE | optimized geometry
# Space group = Pm-3m
# Total magnetization = 0.0 μB/cell
# D(E_F) = 0.898 states/eV per atom
# E above lowest polymorph = 0 meV/atom
# Raw formation energy = 0.1913 eV/atom
# Final energy = -26.7 eV/f.u.
data_TaAs3Cl
_chemical_formula_sum 'Ta1 As3 Cl1'
_cell_length_a 4.993
_cell_length_b 4.993
_cell_length_c 4.993
_cell_angle_alpha 90.00
_cell_angle_beta 90.00
_cell_angle_gamma 90.00
_space_group_name_H-M_alt 'P 1'
_space_group_IT_number 1
_space_group_name_Hall 'P 1'
loop_
_atom_site_label
_atom_site_type_symbol
_atom_site_fract_x
_atom_site_fract_y
_atom_site_fract_z
_atom_site_occupancy
Cl1 Cl 0.500 0.500 0.500 1
As1 As 0.500 0.000 0.000 1
As2 As 0.000 0.500 0.000 1
As3 As 0.000 0.000 0.500 1
Ta1 Ta 0.000 0.000 0.000 1



# 3
# BaAcPt | Alexandria via LeMat-Bulk | PBE | optimized geometry
# Space group = Cmcm
# Total magnetization = 0.0 μB/cell
# D(E_F) = 1.130 states/eV per atom
# Energy of formation from the pure elements = -0.39 eV/atom
# E above lowest polymorph = 410 meV/atom
# Final energy = -13.2 eV/f.u.
data_BaAcPt
_chemical_formula_sum 'Ba2 Ac2 Pt2'
_cell_length_a 7.602
_cell_length_b 5.410
_cell_length_c 5.410
_cell_angle_alpha 107.31
_cell_angle_beta 90.00
_cell_angle_gamma 90.00
_space_group_name_H-M_alt 'P 1'
_space_group_IT_number 1
_space_group_name_Hall 'P 1'
loop_
_atom_site_label
_atom_site_type_symbol
_atom_site_fract_x
_atom_site_fract_y
_atom_site_fract_z
_atom_site_occupancy
Ac1 Ac 0.000 0.000 0.000 1
Ac2 Ac 0.500 0.000 0.000 1
Ba1 Ba 0.250 0.627 0.373 1
Ba2 Ba 0.750 0.373 0.627 1
Pt1 Pt 0.250 0.265 0.735 1
Pt2 Pt 0.750 0.735 0.265 1



# 4
# Mn4AlW | Alexandria via LeMat-Bulk | PBE | optimized geometry
# Space group = F-43m
# Total magnetization = 3.2 μB/cell
# D(E_F) = 1.033 states/eV per atom
# Energy of formation from the pure elements = -0.10 eV/atom
# Final energy = -54.0 eV/f.u.
data_Mn4AlW
_chemical_formula_sum 'Mn4 Al1 W1'
_cell_length_a 4.716
_cell_length_b 4.716
_cell_length_c 4.716
_cell_angle_alpha 60.00
_cell_angle_beta 60.00
_cell_angle_gamma 60.00
_space_group_name_H-M_alt 'P 1'
_space_group_IT_number 1
_space_group_name_Hall 'P 1'
loop_
_atom_site_label
_atom_site_type_symbol
_atom_site_fract_x
_atom_site_fract_y
_atom_site_fract_z
_atom_site_occupancy
Mn1 Mn 0.123 0.626 0.626 1
Mn2 Mn 0.626 0.626 0.123 1
Mn3 Mn 0.626 0.123 0.626 1
Mn4 Mn 0.626 0.626 0.626 1
Al1 Al 0.000 0.000 0.000 1
W1 W 0.250 0.250 0.250 1



# 5
# HoCdInNi | Alexandria via LeMat-Bulk | PBE | optimized geometry
# Space group = F-43m
# Total magnetization = 0.0 μB/cell
# D(E_F) = 0.631 states/eV per atom
# Energy of formation from the pure elements = -0.25 eV/atom
# Final energy = -15.0 eV/f.u.
data_HoCdInNi
_chemical_formula_sum 'Ho1 Cd1 In1 Ni1'
_cell_length_a 4.842
_cell_length_b 4.842
_cell_length_c 4.842
_cell_angle_alpha 60.00
_cell_angle_beta 60.00
_cell_angle_gamma 60.00
_space_group_name_H-M_alt 'P 1'
_space_group_IT_number 1
_space_group_name_Hall 'P 1'
loop_
_atom_site_label
_atom_site_type_symbol
_atom_site_fract_x
_atom_site_fract_y
_atom_site_fract_z
_atom_site_occupancy
Ni1 Ni 0.750 0.750 0.750 1
Ho1 Ho 0.500 0.500 0.500 1
Cd1 Cd 0.250 0.250 0.250 1
In1 In 0.000 0.000 0.000 1



# 6
# KTl2CuCl4 | Alexandria via LeMat-Bulk | PBE | optimized geometry
# Space group = C2/c
# Total magnetization = 0.4 μB/cell
# D(E_F) = 0.000 states/eV per atom
# Raw formation energy = -1.0394 eV/atom
# Final energy = -25.6 eV/f.u.
data_KTl2CuCl4
_chemical_formula_sum 'K2 Tl4 Cu2 Cl8'
_cell_length_a 8.926
_cell_length_b 8.926
_cell_length_c 9.420
_cell_angle_alpha 121.74
_cell_angle_beta 121.74
_cell_angle_gamma 83.88
_space_group_name_H-M_alt 'P 1'
_space_group_IT_number 1
_space_group_name_Hall 'P 1'
loop_
_atom_site_label
_atom_site_type_symbol
_atom_site_fract_x
_atom_site_fract_y
_atom_site_fract_z
_atom_site_occupancy
Cl1 Cl 0.823 0.186 0.004 1
Cl2 Cl 0.248 0.254 0.535 1
Cl3 Cl 0.686 0.323 0.504 1
Cl4 Cl 0.752 0.746 0.465 1
Cl5 Cl 0.246 0.252 0.965 1
Cl6 Cl 0.177 0.814 0.996 1
Cl7 Cl 0.754 0.748 0.035 1
Cl8 Cl 0.314 0.677 0.496 1
Tl1 Tl 0.500 0.500 0.000 1
Tl2 Tl 0.000 0.000 0.500 1
Tl3 Tl 0.500 0.000 0.000 1
Tl4 Tl 0.500 0.000 0.500 1
K1 K 0.000 0.500 0.500 1
K2 K 0.000 0.500 0.000 1
Cu1 Cu 0.000 0.000 0.000 1
Cu2 Cu 0.500 0.500 0.500 1